# AcMg9Tl2

A relaxed structure of AcMg9Tl2 (GGA-PBE, Alexandria).

Calculated values
calculated formation energy = -1.006 eV/f.u.
calculated volume = 25.20 Å³/atom

Structure (CIF):
```
data_AcMg9Tl2
_chemical_formula_sum 'Ac2 Mg18 Tl4'
_space_group_name_H-M_alt 'P 1'
_space_group_IT_number 1
_space_group_name_Hall 'P 1'
_cell_length_a 7.9809
_cell_length_b 9.5766
_cell_length_c 9.5766
_cell_angle_alpha 80.00
_cell_angle_beta 65.37
_cell_angle_gamma 65.37
loop_
_atom_site_label
_atom_site_type_symbol
_atom_site_fract_x
_atom_site_fract_y
_atom_site_fract_z
_atom_site_occupancy
Ac1 Ac 0.5000 0.0000 0.0000 1
Ac2 Ac 0.2500 0.5000 0.5000 1
Mg1 Mg 0.7500 0.5000 0.5000 1
Mg2 Mg 0.0000 0.0000 0.0000 1
Mg3 Mg 0.0045 0.9178 0.6743 1
Mg4 Mg 0.5967 0.0822 0.3257 1
Mg5 Mg 0.6723 0.1743 0.5822 1
Mg6 Mg 0.4288 0.8257 0.4178 1
Mg7 Mg 0.7455 0.8257 0.5822 1
Mg8 Mg 0.1533 0.1743 0.4178 1
Mg9 Mg 0.0777 0.9178 0.3257 1
Mg10 Mg 0.3212 0.0822 0.6743 1
Mg11 Mg 0.7455 0.5822 0.8257 1
Mg12 Mg 0.1533 0.4178 0.1743 1
Mg13 Mg 0.0777 0.3257 0.9178 1
Mg14 Mg 0.3212 0.6743 0.0822 1
Mg15 Mg 0.0045 0.6743 0.9178 1
Mg16 Mg 0.5967 0.3257 0.0822 1
Mg17 Mg 0.6723 0.5822 0.1743 1
Mg18 Mg 0.4288 0.4178 0.8257 1
Tl1 Tl 0.8750 0.2500 0.7500 1
Tl2 Tl 0.8750 0.7500 0.2500 1
Tl3 Tl 0.8750 0.2500 0.2500 1
Tl4 Tl 0.3750 0.7500 0.7500 1
```

=====

# CdInCoSi2

A relaxed structure of CdInCoSi2 (GGA-PBE, Alexandria).

Calculated values
calculated volume = 24.14 Å³/atom
formation energy without anion corrections = 1256 meV/atom

Structure (CIF):
```
data_CdInCoSi2
_chemical_formula_sum 'Cd1 In1 Co1 Si2'
_space_group_name_H-M_alt 'P 1'
_space_group_IT_number 1
_space_group_name_Hall 'P 1'
_cell_length_a 4.9549
_cell_length_b 4.9171
_cell_length_c 4.9549
_cell_angle_alpha 90.00
_cell_angle_beta 90.00
_cell_angle_gamma 90.00
loop_
_atom_site_label
_atom_site_type_symbol
_atom_site_fract_x
_atom_site_fract_y
_atom_site_fract_z
_atom_site_occupancy
Si1 Si 0.0000 0.0000 0.5000 1
Si2 Si 0.5000 0.0000 0.0000 1
Cd1 Cd 0.0000 0.0000 0.0000 1
Co1 Co 0.0000 0.5000 0.0000 1
In1 In 0.5000 0.5000 0.5000 1
```

=====

# CeScC

A relaxed structure of CeScC (GGA-PBE, Alexandria).

Calculated values
calculated formation energy = -0.745 eV/f.u.
calculated volume = 20.76 Å³/atom
ΔE to the lowest computed polymorph = 0.022 eV per atom

Structure (CIF):
```
data_CeScC
_chemical_formula_sum 'Ce1 Sc1 C1'
_space_group_name_H-M_alt 'P 1'
_space_group_IT_number 1
_space_group_name_Hall 'P 1'
_cell_length_a 6.2173
_cell_length_b 3.4013
_cell_length_c 3.4013
_cell_angle_alpha 120.00
_cell_angle_beta 90.00
_cell_angle_gamma 90.00
loop_
_atom_site_label
_atom_site_type_symbol
_atom_site_fract_x
_atom_site_fract_y
_atom_site_fract_z
_atom_site_occupancy
Sc1 Sc 0.2039 0.3333 0.6667 1
C1 C 0.0186 0.0000 0.0000 1
Ce1 Ce 0.7776 0.6667 0.3333 1
```

=====

# Cs2TcI5Cl

A relaxed structure of Cs2TcI5Cl (GGA-PBE, Alexandria).

Calculated values
calculated volume = 44.19 Å³/atom
formation energy without anion corrections = -875 meV/atom

Structure (CIF):
```
data_Cs2TcI5Cl
_chemical_formula_sum 'Cs2 Tc1 I5 Cl1'
_space_group_name_H-M_alt 'P 1'
_space_group_IT_number 1
_space_group_name_Hall 'P 1'
_cell_length_a 8.2700
_cell_length_b 8.2700
_cell_length_c 8.2700
_cell_angle_alpha 89.38
_cell_angle_beta 120.36
_cell_angle_gamma 120.36
loop_
_atom_site_label
_atom_site_type_symbol
_atom_site_fract_x
_atom_site_fract_y
_atom_site_fract_z
_atom_site_occupancy
Cs1 Cs 0.5000 0.2479 0.7479 1
Cs2 Cs 0.5000 0.7479 0.2479 1
Tc1 Tc 0.0000 0.9957 0.9957 1
I1 I 0.4750 0.2340 0.2340 1
I2 I 0.5250 0.7591 0.7591 1
I3 I 0.0000 0.7591 0.2340 1
I4 I 0.0000 0.2340 0.7591 1
I5 I 0.0000 0.2294 0.2294 1
Cl1 Cl 0.0000 0.7930 0.7930 1
```

=====

# LiCaTbPb

A relaxed structure of LiCaTbPb (GGA-PBE, Alexandria).

Calculated values
calculated formation energy = -1.229 eV/f.u.
calculated volume = 27.49 Å³/atom

Structure (CIF):
```
data_LiCaTbPb
_chemical_formula_sum 'Li1 Ca1 Tb1 Pb1'
_space_group_name_H-M_alt 'P 1'
_space_group_IT_number 1
_space_group_name_Hall 'P 1'
_cell_length_a 5.3776
_cell_length_b 5.3776
_cell_length_c 5.3776
_cell_angle_alpha 60.00
_cell_angle_beta 60.00
_cell_angle_gamma 60.00
loop_
_atom_site_label
_atom_site_type_symbol
_atom_site_fract_x
_atom_site_fract_y
_atom_site_fract_z
_atom_site_occupancy
Pb1 Pb 0.5000 0.5000 0.5000 1
Ca1 Ca 0.2500 0.2500 0.2500 1
Tb1 Tb 0.7500 0.7500 0.7500 1
Li1 Li 0.0000 0.0000 0.0000 1
```

=====

# Sr6Li5In

A relaxed structure of Sr6Li5In (GGA-PBE, Alexandria).

Calculated values
calculated formation energy = -0.805 eV/f.u.
calculated volume = 36.50 Å³/atom

Structure (CIF):
```
data_Sr6Li5In
_chemical_formula_sum 'Sr6 Li5 In1'
_space_group_name_H-M_alt 'P 1'
_space_group_IT_number 1
_space_group_name_Hall 'P 1'
_cell_length_a 5.9055
_cell_length_b 8.3440
_cell_length_c 9.3528
_cell_angle_alpha 90.00
_cell_angle_beta 108.13
_cell_angle_gamma 90.00
loop_
_atom_site_label
_atom_site_type_symbol
_atom_site_fract_x
_atom_site_fract_y
_atom_site_fract_z
_atom_site_occupancy
Sr1 Sr 0.8379 0.7562 0.6739 1
Sr2 Sr 0.8379 0.2438 0.6739 1
Sr3 Sr 0.5000 0.2410 0.0000 1
Sr4 Sr 0.5000 0.7590 0.0000 1
Sr5 Sr 0.1621 0.7562 0.3261 1
Sr6 Sr 0.1621 0.2438 0.3261 1
In1 In 0.0000 0.0000 0.0000 1
Li1 Li 0.6665 0.5000 0.3357 1
Li2 Li 0.3361 0.0000 0.6681 1
Li3 Li 0.0000 0.5000 0.0000 1
Li4 Li 0.6639 0.0000 0.3319 1
Li5 Li 0.3335 0.5000 0.6643 1
```

=====

# Li2Dy

A relaxed structure of Li2Dy (GGA-PBE, Alexandria).

Calculated values
calculated formation energy = 0.390 eV/f.u.
calculated volume = 25.21 Å³/atom
ΔE to the lowest computed polymorph = 0.011 eV per atom

Structure (CIF):
```
data_Li2Dy
_chemical_formula_sum 'Li2 Dy1'
_space_group_name_H-M_alt 'P 1'
_space_group_IT_number 1
_space_group_name_Hall 'P 1'
_cell_length_a 3.3213
_cell_length_b 3.3394
_cell_length_c 8.5143
_cell_angle_alpha 78.83
_cell_angle_beta 100.68
_cell_angle_gamma 59.95
loop_
_atom_site_label
_atom_site_type_symbol
_atom_site_fract_x
_atom_site_fract_y
_atom_site_fract_z
_atom_site_occupancy
Li1 Li 0.2929 0.3468 0.8989 1
Li2 Li 0.2699 0.7042 0.2070 1
Dy1 Dy 0.2817 0.0255 0.5530 1
```

=====

# LuAg2

A relaxed structure of LuAg2 (GGA-PBE, Alexandria).

Calculated values
calculated formation energy = -0.509 eV/f.u.
calculated volume = 21.19 Å³/atom

Structure (CIF):
```
data_LuAg2
_chemical_formula_sum 'Lu2 Ag4'
_space_group_name_H-M_alt 'P 1'
_space_group_IT_number 1
_space_group_name_Hall 'P 1'
_cell_length_a 5.6442
_cell_length_b 5.6442
_cell_length_c 5.6442
_cell_angle_alpha 60.00
_cell_angle_beta 60.00
_cell_angle_gamma 60.00
loop_
_atom_site_label
_atom_site_type_symbol
_atom_site_fract_x
_atom_site_fract_y
_atom_site_fract_z
_atom_site_occupancy
Lu1 Lu 0.0000 0.0000 0.0000 1
Lu2 Lu 0.2500 0.2500 0.2500 1
Ag1 Ag 0.1250 0.6250 0.6250 1
Ag2 Ag 0.6250 0.1250 0.6250 1
Ag3 Ag 0.6250 0.6250 0.6250 1
Ag4 Ag 0.6250 0.6250 0.1250 1
```

=====

# LiBe2Al

A relaxed structure of LiBe2Al (GGA-PBE, Alexandria).

Calculated values
calculated formation energy = 2.005 eV/f.u.
calculated volume = 16.83 Å³/atom

Structure (CIF):
```
data_LiBe2Al
_chemical_formula_sum 'Li2 Be4 Al2'
_space_group_name_H-M_alt 'P 1'
_space_group_IT_number 1
_space_group_name_Hall 'P 1'
_cell_length_a 4.0602
_cell_length_b 4.0602
_cell_length_c 8.6575
_cell_angle_alpha 76.44
_cell_angle_beta 76.44
_cell_angle_gamma 90.00
loop_
_atom_site_label
_atom_site_type_symbol
_atom_site_fract_x
_atom_site_fract_y
_atom_site_fract_z
_atom_site_occupancy
Be1 Be 0.8749 0.1250 0.2500 1
Be2 Be 0.8751 0.6250 0.2500 1
Be3 Be 0.3750 0.1251 0.7500 1
Be4 Be 0.8750 0.1249 0.7500 1
Al1 Al 0.0000 0.0000 0.0000 1
Al2 Al 0.7500 0.2500 0.5000 1
Li1 Li 0.5000 0.5000 0.0000 1
Li2 Li 0.2500 0.7500 0.5000 1
```

=====

# Pm4ErSn3

A relaxed structure of Pm4ErSn3 (GGA-PBE, Alexandria).

Calculated values
calculated formation energy = -3.748 eV/f.u.
calculated volume = 30.68 Å³/atom

Structure (CIF):
```
data_Pm4ErSn3
_chemical_formula_sum 'Pm4 Er1 Sn3'
_space_group_name_H-M_alt 'P 1'
_space_group_IT_number 1
_space_group_name_Hall 'P 1'
_cell_length_a 4.3384
_cell_length_b 5.6074
_cell_length_c 14.1313
_cell_angle_alpha 133.10
_cell_angle_beta 98.83
_cell_angle_gamma 90.00
loop_
_atom_site_label
_atom_site_type_symbol
_atom_site_fract_x
_atom_site_fract_y
_atom_site_fract_z
_atom_site_occupancy
Pm1 Pm 0.6178 0.9066 0.2357 1
Pm2 Pm 0.3822 0.0934 0.7643 1
Pm3 Pm 0.8456 0.4733 0.6912 1
Pm4 Pm 0.1544 0.5267 0.3088 1
Er1 Er 0.5000 0.0000 0.0000 1
Sn1 Sn 0.0000 0.5000 0.0000 1
Sn2 Sn 0.2392 0.2835 0.4783 1
Sn3 Sn 0.7608 0.7165 0.5217 1
```

=====

# ZrZn4Co

A relaxed structure of ZrZn4Co (GGA-PBE, Alexandria).

Calculated values
calculated formation energy = -1.136 eV/f.u.
calculated volume = 15.35 Å³/atom
ΔE to the lowest computed polymorph = 0.000 eV per atom

Structure (CIF):
```
data_ZrZn4Co
_chemical_formula_sum 'Zr2 Zn8 Co2'
_space_group_name_H-M_alt 'P 1'
_space_group_IT_number 1
_space_group_name_Hall 'P 1'
_cell_length_a 4.0968
_cell_length_b 6.5583
_cell_length_c 6.8541
_cell_angle_alpha 90.00
_cell_angle_beta 90.00
_cell_angle_gamma 90.00
loop_
_atom_site_label
_atom_site_type_symbol
_atom_site_fract_x
_atom_site_fract_y
_atom_site_fract_z
_atom_site_occupancy
Zr1 Zr 0.0000 0.6140 0.7500 1
Zr2 Zr 0.0000 0.3860 0.2500 1
Zn1 Zn 0.0000 0.0000 0.5000 1
Zn2 Zn 0.0000 0.0000 0.0000 1
Zn3 Zn 0.5000 0.9555 0.7500 1
Zn4 Zn 0.5000 0.0445 0.2500 1
Zn5 Zn 0.5000 0.6857 0.0554 1
Zn6 Zn 0.5000 0.3143 0.9446 1
Zn7 Zn 0.5000 0.6857 0.4446 1
Zn8 Zn 0.5000 0.3143 0.5554 1
Co1 Co 0.0000 0.2447 0.7500 1
Co2 Co 0.0000 0.7553 0.2500 1
```

=====

# CsSb2TeI

A relaxed structure of CsSb2TeI (GGA-PBE, Alexandria).

Calculated values
calculated volume = 45.04 Å³/atom
ΔE to the lowest computed polymorph = 0.376 eV per atom
formation energy without anion corrections = 402 meV/atom

Structure (CIF):
```
data_CsSb2TeI
_chemical_formula_sum 'Cs1 Sb2 Te1 I1'
_space_group_name_H-M_alt 'P 1'
_space_group_IT_number 1
_space_group_name_Hall 'P 1'
_cell_length_a 5.9887
_cell_length_b 5.9887
_cell_length_c 6.2798
_cell_angle_alpha 90.00
_cell_angle_beta 90.00
_cell_angle_gamma 90.00
loop_
_atom_site_label
_atom_site_type_symbol
_atom_site_fract_x
_atom_site_fract_y
_atom_site_fract_z
_atom_site_occupancy
Cs1 Cs 0.5000 0.5000 0.5000 1
I1 I 0.0000 0.0000 0.0000 1
Te1 Te 0.0000 0.0000 0.5000 1
Sb1 Sb 0.0000 0.5000 0.0000 1
Sb2 Sb 0.5000 0.0000 0.0000 1
```